(1)
## Pr2AgSn3 (PBE)

Data for crystalline Pr2AgSn3 at its relaxed geometry.

Structure (CIF):
```
data_Pr2AgSn3
_space_group_name_H-M_alt 'P 1'
_space_group_IT_number 1
_cell_length_a 4.210
_cell_length_b 4.877
_cell_length_c 8.128
_cell_angle_alpha 90.00
_cell_angle_beta 90.00
_cell_angle_gamma 90.00
loop_
_space_group_symop_operation_xyz
'x,y,z'
loop_
_atom_site_label
_atom_site_type_symbol
_atom_site_fract_x
_atom_site_fract_y
_atom_site_fract_z
Sn1 Sn 0.500 0.500 0.654
Sn2 Sn 0.500 0.000 0.837
Sn3 Sn 0.500 0.000 0.184
Pr1 Pr 0.000 0.500 0.992
Pr2 Pr 0.000 0.000 0.509
Ag1 Ag 0.500 0.500 0.324
```

Computed properties:
Crystal system: orthorhombic
Space group: No. 25
Total magnetic moment, μB per cell: 0.0
Density, g/cm3: 7.42
Formation energy from the elements, kcal/mol of atoms: -11.9



(2)
## Pr6Ag5Sn (PBE)

Data for crystalline Pr6Ag5Sn at its relaxed geometry.

Structure (CIF):
```
data_Pr6Ag5Sn
_space_group_name_H-M_alt 'P 1'
_space_group_IT_number 1
_cell_length_a 5.351
_cell_length_b 7.682
_cell_length_c 8.482
_cell_angle_alpha 90.00
_cell_angle_beta 108.44
_cell_angle_gamma 90.00
loop_
_space_group_symop_operation_xyz
'x,y,z'
loop_
_atom_site_label
_atom_site_type_symbol
_atom_site_fract_x
_atom_site_fract_y
_atom_site_fract_z
Pr1 Pr 0.167 0.749 0.337
Pr2 Pr 0.500 0.255 0.000
Pr3 Pr 0.500 0.745 0.000
Pr4 Pr 0.167 0.251 0.337
Pr5 Pr 0.833 0.749 0.663
Pr6 Pr 0.833 0.251 0.663
Ag1 Ag 0.338 0.000 0.668
Ag2 Ag 0.662 0.000 0.332
Ag3 Ag 0.337 0.500 0.667
Ag4 Ag 0.663 0.500 0.333
Ag5 Ag 0.000 0.500 0.000
Sn1 Sn 0.000 0.000 0.000
```

Computed properties:
Crystal system: monoclinic
Space group: No. 10
Total magnetic moment, μB per cell: 1.4
Density, g/cm3: 7.55
Formation energy from the elements, kcal/mol of atoms: -7.6



(3)
## PrAgSn (PBE)

Data for crystalline PrAgSn at its relaxed geometry.

Structure (CIF):
```
data_PrAgSn
_space_group_name_H-M_alt 'P 1'
_space_group_IT_number 1
_cell_length_a 4.636
_cell_length_b 4.636
_cell_length_c 9.789
_cell_angle_alpha 76.30
_cell_angle_beta 76.30
_cell_angle_gamma 60.00
loop_
_space_group_symop_operation_xyz
'x,y,z'
loop_
_atom_site_label
_atom_site_type_symbol
_atom_site_fract_x
_atom_site_fract_y
_atom_site_fract_z
Ag1 Ag 0.834 0.834 0.497
Ag2 Ag 0.166 0.166 0.503
Pr1 Pr 0.432 0.432 0.704
Pr2 Pr 0.568 0.568 0.296
Sn1 Sn 0.309 0.309 0.072
Sn2 Sn 0.691 0.691 0.928
```

Computed properties:
Crystal system: trigonal
Space group: No. 166
Total magnetic moment, μB per cell: 0.0
Density, g/cm3: 6.96
Formation energy from the elements, kcal/mol of atoms: -7.1



(4)
## Pr2Ag3Sn (PBE)

Data for crystalline Pr2Ag3Sn at its relaxed geometry.

Structure (CIF):
```
data_Pr2Ag3Sn
_space_group_name_H-M_alt 'P 1'
_space_group_IT_number 1
_cell_length_a 6.117
_cell_length_b 6.117
_cell_length_c 9.717
_cell_angle_alpha 113.32
_cell_angle_beta 113.32
_cell_angle_gamma 75.06
loop_
_space_group_symop_operation_xyz
'x,y,z'
loop_
_atom_site_label
_atom_site_type_symbol
_atom_site_fract_x
_atom_site_fract_y
_atom_site_fract_z
Ag1 Ag 0.834 0.834 0.165
Ag2 Ag 0.668 0.668 0.835
Ag3 Ag 0.332 0.332 0.165
Ag4 Ag 0.167 0.167 0.334
Ag5 Ag 0.833 0.833 0.666
Ag6 Ag 0.166 0.166 0.835
Sn1 Sn 0.664 0.664 0.328
Sn2 Sn 0.336 0.336 0.672
Pr1 Pr 0.237 0.763 0.000
Pr2 Pr 0.750 0.250 0.500
Pr3 Pr 0.763 0.237 0.000
Pr4 Pr 0.250 0.750 0.500
```

Computed properties:
Crystal system: orthorhombic
Space group: No. 69
Total magnetic moment, μB per cell: 0.0
Density, g/cm3: 7.90
Formation energy from the elements, kcal/mol of atoms: -9.0



(5)
## Pr3AgSn2 (PBE)

Data for crystalline Pr3AgSn2 at its relaxed geometry.

Structure (CIF):
```
data_Pr3AgSn2
_space_group_name_H-M_alt 'P 1'
_space_group_IT_number 1
_cell_length_a 6.567
_cell_length_b 6.383
_cell_length_c 9.059
_cell_angle_alpha 102.98
_cell_angle_beta 111.25
_cell_angle_gamma 90.00
loop_
_space_group_symop_operation_xyz
'x,y,z'
loop_
_atom_site_label
_atom_site_type_symbol
_atom_site_fract_x
_atom_site_fract_y
_atom_site_fract_z
Sn1 Sn 0.237 0.955 0.687
Sn2 Sn 0.451 0.455 0.687
Sn3 Sn 0.549 0.545 0.313
Sn4 Sn 0.763 0.045 0.313
Pr1 Pr 0.719 0.898 0.658
Pr2 Pr 0.281 0.102 0.342
Pr3 Pr 0.657 0.250 0.000
Pr4 Pr 0.939 0.398 0.658
Pr5 Pr 0.343 0.750 0.000
Pr6 Pr 0.061 0.602 0.342
Ag1 Ag 0.138 0.250 0.000
Ag2 Ag 0.862 0.750 0.000
```

Computed properties:
Crystal system: monoclinic
Space group: No. 15
ΔE to the lowest computed polymorph, meV/atom: 112.0
Total magnetic moment, μB per cell: 0.0
Density, g/cm3: 7.43
Formation energy from the elements, kcal/mol of atoms: -11.5



(6)
## Pr5AgSn2 (PBE)

Data for crystalline Pr5AgSn2 at its relaxed geometry.

Structure (CIF):
```
data_Pr5AgSn2
_space_group_name_H-M_alt 'P 1'
_space_group_IT_number 1
_cell_length_a 7.210
_cell_length_b 7.210
_cell_length_c 6.849
_cell_angle_alpha 121.77
_cell_angle_beta 121.77
_cell_angle_gamma 90.04
loop_
_space_group_symop_operation_xyz
'x,y,z'
loop_
_atom_site_label
_atom_site_type_symbol
_atom_site_fract_x
_atom_site_fract_y
_atom_site_fract_z
Pr1 Pr 0.722 0.722 0.445
Pr2 Pr 0.722 0.222 0.944
Pr3 Pr 0.722 0.722 0.944
Pr4 Pr 0.222 0.222 0.944
Pr5 Pr 0.222 0.722 0.944
Sn1 Sn 0.722 0.222 0.444
Sn2 Sn 0.222 0.722 0.444
Ag1 Ag 0.222 0.222 0.443
```

Computed properties:
Crystal system: tetragonal
Space group: No. 107
Total magnetic moment, μB per cell: 0.0
Density, g/cm3: 7.34
Formation energy from the elements, kcal/mol of atoms: -9.7



(7)
## Pr3Ag4Sn (PBE)

Data for crystalline Pr3Ag4Sn at its relaxed geometry.

Structure (CIF):
```
data_Pr3Ag4Sn
_space_group_name_H-M_alt 'P 1'
_space_group_IT_number 1
_cell_length_a 3.761
_cell_length_b 6.375
_cell_length_c 9.867
_cell_angle_alpha 108.85
_cell_angle_beta 100.99
_cell_angle_gamma 90.00
loop_
_space_group_symop_operation_xyz
'x,y,z'
loop_
_atom_site_label
_atom_site_type_symbol
_atom_site_fract_x
_atom_site_fract_y
_atom_site_fract_z
Ag1 Ag 0.376 0.597 0.752
Ag2 Ag 0.376 0.156 0.752
Ag3 Ag 0.624 0.403 0.248
Ag4 Ag 0.624 0.844 0.248
Pr1 Pr 0.779 0.779 0.558
Pr2 Pr 0.000 0.500 0.000
Pr3 Pr 0.221 0.221 0.442
Sn1 Sn 0.500 0.000 0.000
```

Computed properties:
Crystal system: orthorhombic
Space group: No. 71
Total magnetic moment, μB per cell: 0.0
Density, g/cm3: 7.37
Formation energy from the elements, kcal/mol of atoms: -3.1



(8)
## PrAgSn2 (PBE)

Data for crystalline PrAgSn2 at its relaxed geometry.

Structure (CIF):
```
data_PrAgSn2
_space_group_name_H-M_alt 'P 1'
_space_group_IT_number 1
_cell_length_a 3.452
_cell_length_b 3.452
_cell_length_c 11.049
_cell_angle_alpha 81.01
_cell_angle_beta 81.01
_cell_angle_gamma 60.00
loop_
_space_group_symop_operation_xyz
'x,y,z'
loop_
_atom_site_label
_atom_site_type_symbol
_atom_site_fract_x
_atom_site_fract_y
_atom_site_fract_z
Sn1 Sn 0.901 0.901 0.297
Sn2 Sn 0.099 0.099 0.703
Ag1 Ag 0.500 0.500 0.500
Pr1 Pr 0.000 0.000 0.000
```

Computed properties:
Crystal system: trigonal
Space group: No. 166
ΔE to the lowest computed polymorph, meV/atom: 567.7
Total magnetic moment, μB per cell: 0.0
Density, g/cm3: 7.20
Formation energy from the elements, kcal/mol of atoms: 1.9



(9)
## PrAgSn2 (PBE)

Data for crystalline PrAgSn2 at its relaxed geometry.

Structure (CIF):
```
data_PrAgSn2
_space_group_name_H-M_alt 'P 1'
_space_group_IT_number 1
_cell_length_a 4.548
_cell_length_b 4.721
_cell_length_c 4.721
_cell_angle_alpha 90.00
_cell_angle_beta 90.00
_cell_angle_gamma 90.00
loop_
_space_group_symop_operation_xyz
'x,y,z'
loop_
_atom_site_label
_atom_site_type_symbol
_atom_site_fract_x
_atom_site_fract_y
_atom_site_fract_z
Sn1 Sn 0.000 0.500 0.000
Sn2 Sn 0.000 0.000 0.500
Ag1 Ag 0.500 0.000 0.000
Pr1 Pr 0.500 0.500 0.500
```

Computed properties:
Crystal system: tetragonal
Space group: No. 123
ΔE to the lowest computed polymorph, meV/atom: 14.1
Total magnetic moment, μB per cell: 0.0
Density, g/cm3: 7.96
Formation energy from the elements, kcal/mol of atoms: -10.9



(10)
## PrAgSn (PBE)

Data for crystalline PrAgSn at its relaxed geometry.

Structure (CIF):
```
data_PrAgSn
_space_group_name_H-M_alt 'P 1'
_space_group_IT_number 1
_cell_length_a 4.900
_cell_length_b 4.900
_cell_length_c 4.900
_cell_angle_alpha 60.00
_cell_angle_beta 60.00
_cell_angle_gamma 60.00
loop_
_space_group_symop_operation_xyz
'x,y,z'
loop_
_atom_site_label
_atom_site_type_symbol
_atom_site_fract_x
_atom_site_fract_y
_atom_site_fract_z
Sn1 Sn 0.000 0.000 0.000
Ag1 Ag 0.250 0.250 0.250
Pr1 Pr 0.500 0.500 0.500
```

Computed properties:
Crystal system: cubic
Space group: No. 216
Total magnetic moment, μB per cell: 0.0
Density, g/cm3: 7.33
Formation energy from the elements, kcal/mol of atoms: -12.6